A plane-wave DFT calculation with PBE-GGA was carried out for CsNbMoRu2 after structural relaxation.

Cell lengths 4.790, 4.790, 5.644 Å; angles 90.00, 90.00, 90.00 degrees
Atoms (fractional coordinates):
Cs (0.000, 0.000, 0.000)
Nb (0.000, 0.000, 0.500)
Mo (0.500, 0.500, 0.000)
Ru (0.000, 0.500, 0.500)
Ru (0.500, 0.000, 0.500)

Computed properties:
As for the volume: 130 Å³ per cell. As for the total energy: -5.813 eV/atom. Its energy of formation is 2.2483 eV/atom. The value obtained for the density of states at the Fermi level is 6.01 states/eV per cell. Its symmetry is P4/mmm (123).